(1)
{
  "formula": "Ca3SnS5",
  "functional": "PBE",
  "state": "optimized geometry",
  "dos_ef_per_ev_cell": 0.0,
  "spacegroup": "R3m (160)",
  "magnetic_moment_mub_per_fu": 0.000,
  "e_form_raw_kj_per_mol_fu": -1221,
  "de_polymorph_ev_per_atom": 0.056,
  "lattice": [[4.4193, 2.5515, 10.9973], [-4.4193, 2.5515, 10.9973], [0.0000, -5.1030, 10.9973]],
  "species": ["Ca", "Ca", "Ca", "Ca", "Ca", "Ca", "Ca", "Ca", "Ca", "Sn", "Sn", "Sn", "S", "S", "S", "S", "S", "S", "S", "S", "S", "S", "S", "S", "S", "S", "S"],
  "frac_coords": [[0.0083, 0.4958, 0.4958], [0.2238, 0.7525, 0.7525], [0.4953, 0.9425, 0.9425], [0.4958, 0.0083, 0.4958], [0.4958, 0.4958, 0.0083], [0.7525, 0.2238, 0.7525], [0.7525, 0.7525, 0.2238], [0.9425, 0.4953, 0.9425], [0.9425, 0.9425, 0.4953], [0.0198, 0.0198, 0.0198], [0.2414, 0.2414, 0.2414], [0.4577, 0.4577, 0.4577], [0.0913, 0.0913, 0.0913], [0.1357, 0.1357, 0.5536], [0.1357, 0.5536, 0.1357], [0.1711, 0.1711, 0.1711], [0.2000, 0.6314, 0.6314], [0.3002, 0.8500, 0.8500], [0.3818, 0.3818, 0.3818], [0.5536, 0.1357, 0.1357], [0.6040, 0.6040, 0.6040], [0.6314, 0.2000, 0.6314], [0.6314, 0.6314, 0.2000], [0.7438, 0.7438, 0.7438], [0.8500, 0.3002, 0.8500], [0.8500, 0.8500, 0.3002], [0.8662, 0.8662, 0.8662]]
}

(2)
{
  "formula": "Ca3SnS5",
  "functional": "PBE",
  "state": "optimized geometry",
  "spacegroup": "I4/mcm (140)",
  "magnetic_moment_mub_per_fu": 0.000,
  "e_form_raw_kj_per_mol_fu": -1138,
  "de_polymorph_ev_per_atom": 0.151,
  "lattice": [[-3.8372, 3.8372, 7.1722], [3.8372, -3.8372, 7.1722], [3.8372, 3.8372, -7.1722]],
  "species": ["Ca", "Ca", "Ca", "Ca", "Ca", "Ca", "Sn", "Sn", "S", "S", "S", "S", "S", "S", "S", "S", "S", "S"],
  "frac_coords": [[0.1647, 0.6647, 0.8294], [0.2500, 0.2500, 0.0000], [0.3353, 0.1647, 0.5000], [0.6647, 0.8353, 0.5000], [0.7500, 0.7500, 0.0000], [0.8353, 0.3353, 0.1706], [0.2500, 0.7500, 0.5000], [0.7500, 0.2500, 0.5000], [0.0000, 0.0000, 0.0000], [0.0224, 0.1902, 0.5000], [0.1902, 0.6902, 0.1678], [0.3098, 0.4776, 0.5000], [0.4776, 0.9776, 0.1678], [0.5000, 0.5000, 0.0000], [0.5224, 0.0224, 0.8322], [0.6902, 0.5224, 0.5000], [0.8098, 0.3098, 0.8322], [0.9776, 0.8098, 0.5000]]
}

(3)
{
  "formula": "Ca3Sn2S7",
  "functional": "PBE",
  "state": "optimized geometry",
  "spacegroup": "Cmc2_1 (36)",
  "magnetic_moment_mub_per_fu": 0.000,
  "e_form_raw_kj_per_mol_fu": -1354,
  "de_polymorph_ev_per_atom": 0.017,
  "lattice": [[11.6677, -3.4001, 0.0000], [11.6677, 3.4001, 0.0000], [0.0000, 0.0000, 7.2124]],
  "species": ["Ca", "Ca", "Ca", "Ca", "Ca", "Ca", "Sn", "Sn", "Sn", "Sn", "S", "S", "S", "S", "S", "S", "S", "S", "S", "S", "S", "S", "S", "S"],
  "frac_coords": [[0.0533, 0.5715, 0.3150], [0.2159, 0.7841, 0.5000], [0.4285, 0.9467, 0.3150], [0.5715, 0.0533, 0.8150], [0.7841, 0.2159, 0.0000], [0.9467, 0.4285, 0.8150], [0.1454, 0.6476, 0.9013], [0.3524, 0.8546, 0.9013], [0.6476, 0.1454, 0.4013], [0.8546, 0.3524, 0.4013], [0.0091, 0.1402, 0.7190], [0.0680, 0.3418, 0.4466], [0.1402, 0.0091, 0.2190], [0.3126, 0.4234, 0.6068], [0.3418, 0.0680, 0.9466], [0.3869, 0.6131, 0.8577], [0.4234, 0.3126, 0.1068], [0.5766, 0.6874, 0.6068], [0.6131, 0.3869, 0.3577], [0.6582, 0.9320, 0.4466], [0.6874, 0.5766, 0.1068], [0.8598, 0.9909, 0.7190], [0.9320, 0.6582, 0.9466], [0.9909, 0.8598, 0.2190]]
}

(4)
{
  "formula": "CaSnS3",
  "functional": "PBE",
  "state": "optimized geometry",
  "dos_ef_per_ev_cell": 1.6,
  "spacegroup": "Cmcm (63)",
  "magnetic_moment_mub_per_fu": 0.000,
  "e_form_raw_kj_per_mol_fu": -408,
  "de_polymorph_ev_per_atom": 0.180,
  "lattice": [[3.4331, -6.5279, 0.0000], [3.4331, 6.5279, 0.0000], [0.0000, 0.0000, 17.8961]],
  "species": ["Ca", "Ca", "Ca", "Ca", "Ca", "Ca", "Sn", "Sn", "Sn", "Sn", "Sn", "Sn", "S", "S", "S", "S", "S", "S", "S", "S", "S", "S", "S", "S", "S", "S", "S", "S", "S", "S"],
  "frac_coords": [[0.0948, 0.9052, 0.7500], [0.2942, 0.7058, 0.0566], [0.2942, 0.7058, 0.4434], [0.7058, 0.2942, 0.5566], [0.7058, 0.2942, 0.9434], [0.9052, 0.0948, 0.2500], [0.0000, 0.0000, 0.0000], [0.0000, 0.0000, 0.5000], [0.3574, 0.6426, 0.6622], [0.3574, 0.6426, 0.8378], [0.6426, 0.3574, 0.1622], [0.6426, 0.3574, 0.3378], [0.0251, 0.4825, 0.7500], [0.1300, 0.3842, 0.5567], [0.1300, 0.3842, 0.9433], [0.1318, 0.8682, 0.5993], [0.1318, 0.8682, 0.9007], [0.3842, 0.1300, 0.0567], [0.3842, 0.1300, 0.4433], [0.4825, 0.0251, 0.2500], [0.4886, 0.5114, 0.2500], [0.5114, 0.4886, 0.7500], [0.5175, 0.9749, 0.7500], [0.6158, 0.8700, 0.5567], [0.6158, 0.8700, 0.9433], [0.8682, 0.1318, 0.0993], [0.8682, 0.1318, 0.4007], [0.8700, 0.6158, 0.0567], [0.8700, 0.6158, 0.4433], [0.9749, 0.5175, 0.2500]]
}

(5)
{
  "formula": "CaSnS3",
  "functional": "PBE",
  "state": "optimized geometry",
  "dos_ef_per_ev_cell": 0.9,
  "spacegroup": "Amm2 (38)",
  "magnetic_moment_mub_per_fu": 0.000,
  "e_form_raw_kj_per_mol_fu": -293,
  "de_polymorph_ev_per_atom": 0.417,
  "lattice": [[4.1153, 0.0000, 0.0000], [0.0000, 3.6365, 4.3394], [0.0000, -3.6365, 4.3394]],
  "species": ["Ca", "Sn", "S", "S", "S"],
  "frac_coords": [[0.0000, 0.0000, 0.0000], [0.5000, 0.6449, 0.6449], [0.5000, 0.1912, 0.6737], [0.5000, 0.2134, 0.2134], [0.5000, 0.6737, 0.1912]]
}

(6)
{
  "formula": "CaSnS3",
  "functional": "PBE",
  "state": "optimized geometry",
  "spacegroup": "P2_1/c (14)",
  "magnetic_moment_mub_per_fu": 0.000,
  "e_form_raw_kj_per_mol_fu": -488,
  "de_polymorph_ev_per_atom": 0.013,
  "lattice": [[7.3538, 0.0000, 0.0000], [0.0000, 10.1802, 0.0000], [-1.0216, 0.0000, 7.3794]],
  "species": ["Ca", "Ca", "Ca", "Ca", "Sn", "Sn", "Sn", "Sn", "S", "S", "S", "S", "S", "S", "S", "S", "S", "S", "S", "S"],
  "frac_coords": [[0.0856, 0.0972, 0.2528], [0.0856, 0.4028, 0.7528], [0.9144, 0.5972, 0.2472], [0.9144, 0.9028, 0.7472], [0.3542, 0.6978, 0.4954], [0.3542, 0.8022, 0.9954], [0.6458, 0.1978, 0.0046], [0.6458, 0.3022, 0.5046], [0.0853, 0.6624, 0.9276], [0.0853, 0.8376, 0.4276], [0.2305, 0.0150, 0.9421], [0.2305, 0.4850, 0.4421], [0.4390, 0.2397, 0.7239], [0.4390, 0.2603, 0.2239], [0.5610, 0.7397, 0.7761], [0.5610, 0.7603, 0.2761], [0.7695, 0.5150, 0.5579], [0.7695, 0.9850, 0.0579], [0.9147, 0.1624, 0.5724], [0.9147, 0.3376, 0.0724]]
}